Entry 1:
An optimized crystal structure of Pm12SmY5, computed with PBE-GGA.

It has space group C2/m (No. 12), with a = 6.299 Å, b = 10.907 Å, c = 17.801 Å, α = 90.00°, β = 96.76° and γ = 90.00°. Symmetry generates all atoms from Pm at (0.112, 0.000, 0.334), Pm at (0.112, 0.333, 0.334), Pm at (0.223, 0.167, 0.166), Pm at (0.223, 0.500, 0.166), Sm at (0.000, 0.000, 0.000), Y at (0.000, 0.167, 0.500), Y at (0.000, 0.333, 0.000) and Y at (0.000, 0.500, 0.500).

The calculation puts the formation enthalpy at 0 K at 5 meV per atom.

Entry 2:
An optimized crystal structure of YTaCd2, computed with PBE-GGA.

It has space group Cmmm (No. 65), with a = 6.381 Å, b = 8.730 Å, c = 3.127 Å, α = 90.00°, β = 90.00° and γ = 90.00°. Symmetry generates all atoms from Y at (0.000, 0.000, 0.000), Ta at (0.000, 0.500, 0.000) and Cd at (0.250, 0.250, 0.500).

Its energy above the most stable polymorph in this dataset is 0.28 eV per formula unit. The calculation puts the formation enthalpy at 0 K at 186 meV per atom.

Entry 3:
An optimized crystal structure of HRu2Au, computed with PBE-GGA.

It has space group Fm-3m (No. 225), with a = 5.992 Å, b = 5.992 Å, c = 5.992 Å, α = 90.00°, β = 90.00° and γ = 90.00°. Symmetry generates all atoms from H at (0.000, 0.000, 0.000), Ru at (0.250, 0.250, 0.250) and Au at (0.000, 0.000, 0.500).

Its energy above the most stable polymorph in this dataset is 2.11 eV per formula unit.

Entry 4:
An optimized crystal structure of ZrAlTc2, computed with PBE-GGA.

It has space group R3m (No. 160, hexagonal axes), with a = 2.8619 Å, b = 2.8619 Å, c = 28.1598 Å, α = 90.00°, β = 90.00° and γ = 120.00°. Symmetry generates all atoms from Zr at (0.0000, 0.0000, 0.0000), Al at (0.0000, 0.0000, 0.7582), Tc at (0.0000, 0.0000, 0.2407) and Tc at (0.0000, 0.0000, 0.5020).

The calculation puts the formation enthalpy at 0 K at -11 meV per atom.

Entry 5:
An optimized crystal structure of Er8Os2Pd, computed with PBE-GGA.

It has space group Cm (No. 8), with a = 8.523 Å, b = 12.411 Å, c = 5.672 Å, α = 90.00°, β = 106.81° and γ = 90.00°. Symmetry generates all atoms from Er at (0.000, 0.000, 0.000), Er at (0.070, 0.368, 0.792), Er at (0.165, 0.132, 0.599), Er at (0.240, 0.500, 0.388), Er at (0.369, 0.226, 0.193), Os at (0.367, 0.312, 0.693) and Pd at (0.371, 0.000, 0.086).

Its energy above the most stable polymorph in this dataset is 0.49 eV per formula unit. The calculation puts the formation enthalpy at 0 K at -293 meV per atom.

Entry 6:
An optimized crystal structure of Nd2Cl2O, computed with PBE-GGA.

It has space group P4/mmm (No. 123), with a = 4.301 Å, b = 4.301 Å, c = 13.487 Å, α = 90.00°, β = 90.00° and γ = 90.00°. Symmetry generates all atoms from Nd at (0.000, 0.000, 0.160), Cl at (0.000, 0.000, 0.350) and O at (0.000, 0.000, 0.000).

The uncorrected formation energy comes out at -1233 meV per atom.